First-principles (GGA-PBE) data for TlAs2Cl after structural relaxation, as listed in Alexandria.

The structure in POSCAR format:
```
TlAs2Cl
1.0
1.875 -3.003 0.000
1.875 3.003 0.000
0.000 0.000 9.897
Tl As Cl
1 2 1
Cartesian
0.000 0.000 0.000
0.000 0.000 4.909
1.875 0.000 3.259
1.875 0.000 7.890
```

Properties
The density of states at the Fermi level comes out at 0.4190 states/eV per atom. Its energy above the lowest structure with this stoichiometry is 279 meV/atom. As for the uncorrected formation energy: -0.086 eV/atom. The calculation puts the total energy at -13.9 eV for the cell shown.


First-principles (GGA-PBE) data for HoNpGe2 after structural relaxation, as listed in Alexandria.

The structure in POSCAR format:
```
HoNpGe2
1.0
3.283 0.000 0.000
0.000 3.283 0.000
0.000 0.000 8.078
Ho Np Ge
1 1 2
Cartesian
0.000 0.000 0.000
0.000 0.000 4.039
1.642 1.642 2.015
1.642 1.642 6.063
```

Properties
The density of states at the Fermi level comes out at 1.6434 states/eV per atom. The formation energy comes out at -0.370 eV per atom. Its energy above the lowest structure with this stoichiometry is 0 meV/atom. The calculation puts the total energy at -28.2 eV for the cell shown.


First-principles (GGA-PBE) data for Sr8LiIr2 after structural relaxation, as listed in Alexandria.

The structure in POSCAR format:
```
Sr8LiIr2
1.0
6.181 0.000 0.000
1.594 8.333 0.000
1.200 0.700 9.073
Sr Li Ir
8 1 2
Cartesian
2.243 3.304 3.379
3.538 7.594 7.366
3.259 3.742 8.051
3.633 7.149 3.458
5.343 1.884 5.615
5.716 5.291 1.023
5.438 1.439 1.707
6.732 5.729 5.695
3.091 0.000 0.000
3.746 5.055 5.482
5.229 3.978 3.592
```

Properties
The density of states at the Fermi level comes out at 0.9361 states/eV per atom. The formation energy comes out at -0.054 eV per atom. The calculation puts the total energy at -33.7 eV for the cell shown.